PBE+U Fe5P3O13, relaxed; final energy = -7.07 eV per atom; size of the total moment = 42.00 Bohr magnetons per cell
1.0
8.549 0.000 0.000
0.000 6.297 0.000
-0.895 0.000 9.911
Fe P O
10 6 26
direct
0.086 0.250 0.121 Fe
0.272 0.250 0.565 Fe
0.348 0.250 0.918 Fe
0.390 0.003 0.236 Fe
0.390 0.497 0.236 Fe
0.610 0.503 0.764 Fe
0.610 0.997 0.764 Fe
0.652 0.750 0.082 Fe
0.728 0.750 0.435 Fe
0.914 0.750 0.879 Fe
0.016 0.750 0.213 P
0.318 0.750 0.916 P
0.385 0.750 0.514 P
0.615 0.250 0.486 P
0.682 0.250 0.084 P
0.984 0.250 0.787 P
0.081 0.250 0.667 O
0.097 0.250 0.920 O
0.122 0.545 0.210 O
0.122 0.955 0.210 O
0.138 0.750 0.902 O
0.286 0.552 0.522 O
0.286 0.948 0.522 O
0.311 0.250 0.118 O
0.379 0.548 0.848 O
0.379 0.952 0.848 O
0.384 0.750 0.069 O
0.457 0.750 0.367 O
0.465 0.250 0.384 O
0.535 0.750 0.616 O
0.543 0.250 0.633 O
0.616 0.250 0.931 O
0.621 0.048 0.152 O
0.621 0.452 0.152 O
0.689 0.750 0.882 O
0.714 0.052 0.478 O
0.714 0.448 0.478 O
0.862 0.250 0.098 O
0.878 0.045 0.790 O
0.878 0.455 0.790 O
0.903 0.750 0.080 O
0.919 0.750 0.333 O